No. 1
Pm6AsP2S3 | PBE-GGA | relaxed

Summary:
As for the space group: No. 12. The volume comes out at 294 Å³/f.u. The final energy comes out at -6.5399 eV per atom.

Cell and atoms, written as POSCAR:
```
Pm6AsP2S3
1.0
4.109 0.000 0.000
0.000 8.203 0.294
-2.055 -2.366 8.638
Pm As P S
6 1 2 3
direct
0.332 0.910 0.664
0.669 0.579 0.338
0.668 0.090 0.336
0.002 0.253 0.004
0.998 0.747 0.996
0.331 0.421 0.662
0.500 0.000 0.000
0.833 0.666 0.666
0.167 0.334 0.334
0.500 0.500 0.000
0.834 0.167 0.668
0.166 0.833 0.332
```



No. 2
Pm6As3P2S | PBE-GGA | relaxed

Summary:
As for the space group: No. 12. The volume comes out at 308 Å³/f.u. The final energy comes out at -6.4368 eV per atom.

Cell and atoms, written as POSCAR:
```
Pm6As3P2S
1.0
-2.962 2.029 2.127
-5.096 -0.532 -6.590
-0.360 -8.590 3.599
Pm As P S
6 3 2 1
direct
0.333 0.912 0.666
0.668 0.579 0.337
0.667 0.088 0.334
0.002 0.251 0.003
0.998 0.749 0.997
0.332 0.421 0.663
0.500 0.500 0.000
0.834 0.166 0.668
0.166 0.834 0.332
0.834 0.668 0.668
0.166 0.332 0.332
0.500 0.000 0.000
```